First-principles (GGA-PBE) data for a relaxed CaNi2Pb crystal, as listed in Alexandria via LeMat-Bulk.

a = 3.483 Å, b = 3.483 Å, c = 6.362 Å
α = 90.00°, β = 90.00°, γ = 90.00°
Space group P4/mmm (No. 123)
Symmetry-distinct sites (fractional):
Ca  0.000  0.000  0.000 [1 per cell]
Ni  0.500  0.500  0.292 [2 per cell]
Pb  0.000  0.000  0.500 [1 per cell]

## Properties
calculated total energy: -16.91 eV per cell
formation energy: 0.36 eV/f.u.


First-principles (GGA-PBE) data for a relaxed PrDy3Th crystal, as listed in Alexandria via LeMat-Bulk.

a = 5.346 Å, b = 11.312 Å, c = 11.043 Å
α = 90.00°, β = 90.06°, γ = 90.00°
Space group C2/m (No. 12)
Symmetry-distinct sites (fractional):
Pr  0.000  0.153  0.000 [4 per cell]
Dy  0.000  0.151  0.308 [8 per cell]
Dy  0.000  0.500  0.176 [4 per cell]
Th  0.000  0.365  0.500 [4 per cell]

## Properties
calculated total energy: -100.61 eV per cell
formation energy: 0.85 eV/f.u.
excess energy over the best structure of this formula in the dataset: 146 meV per atom


First-principles (GGA-PBE) data for a relaxed ScNiAs2 crystal, as listed in Alexandria via LeMat-Bulk.

a = 3.542 Å, b = 3.712 Å, c = 10.274 Å
α = 90.00°, β = 90.00°, γ = 90.00°
Space group Imm2 (No. 44)
Symmetry-distinct sites (fractional):
Sc  0.000  0.000  0.000 [2 per cell]
Ni  0.000  0.500  0.236 [2 per cell]
As  0.000  0.000  0.568 [2 per cell]
As  0.000  0.500  0.796 [2 per cell]

## Properties
calculated total energy: -47.21 eV per cell
formation energy: -2.19 eV/f.u.


First-principles (GGA-PBE) data for a relaxed FeCu4Pt2 crystal, as listed in Alexandria via LeMat-Bulk.

a = 8.526 Å, b = 4.847 Å, c = 9.259 Å
α = 90.00°, β = 90.00°, γ = 90.00°
Space group Cmce (No. 64)
Symmetry-distinct sites (fractional):
Fe  0.000  0.000  0.000 [4 per cell]
Cu  0.000  0.003  0.276 [8 per cell]
Cu  0.250  0.248  0.750 [8 per cell]
Pt  0.175  0.000  0.500 [8 per cell]

## Properties
calculated total energy: -146.05 eV per cell
formation energy: 0.42 eV/f.u.


First-principles (GGA-PBE) data for a relaxed Nd4SiP2Cl crystal, as listed in Alexandria via LeMat-Bulk.

a = 7.245 Å, b = 4.177 Å, c = 7.261 Å
α = 90.00°, β = 108.99°, γ = 90.00°
Space group P2/m (No. 10)
Symmetry-distinct sites (fractional):
Nd  0.234  0.000  0.232 [2 per cell]
Nd  0.248  0.500  0.758 [2 per cell]
Si  0.000  0.000  0.500 [1 per cell]
P  0.000  0.500  0.000 [1 per cell]
P  0.500  0.000  0.000 [1 per cell]
Cl  0.500  0.500  0.500 [1 per cell]

## Properties
calculated total energy: -48.29 eV per cell
formation energy without anion corrections: -1.39 eV per atom


First-principles (GGA-PBE) data for a relaxed Pu3Mg5Te12 crystal, as listed in Alexandria via LeMat-Bulk.

a = 17.458 Å, b = 17.458 Å, c = 17.458 Å
α = 90.00°, β = 90.00°, γ = 90.00°
Space group Ia-3d (No. 230)
Symmetry-distinct sites (fractional):
Pu  0.000  0.250  0.125 [24 per cell]
Mg  0.000  0.000  0.000 [16 per cell]
Mg  0.000  0.250  0.375 [24 per cell]
Te  0.023  0.071  0.653 [96 per cell]

## Properties
calculated total energy: -808.70 eV per cell
formation energy without anion corrections: -0.62 eV per atom


What is the calculated total energy in the sixth record? -808.70 eV per cell


Which of these has the highest calculated total energy? CaNi2Pb


Number 1 is which compound? CaNi2Pb


Which value of calculated total energy does entry 5 give? -48.29 eV per cell